Record 1
Material: Be2IrBr
Method: DFT, GGA-PBE
State: relaxed

## Properties
- formation energy without anion corrections (eV per atom) = 0.014
- N(E_F) (states/eV per cell) = 0.30
- SG = No. 44

```
Be2IrBr
1.0
-4.6529 2.5708 4.9873
-7.0215 1.1036 1.6165
5.8024 -3.7733 -2.2862
Be Ir Br
2 1 1
Cartesian
-0.8596 0.2705 0.4862 Be
-2.2741 0.2954 2.9620 Be
-2.9831 -0.5878 1.0078 Ir
-5.5925 1.7602 3.1635 Br
```

***

Record 2
Material: BeIr2Br
Method: DFT, GGA-PBE
State: relaxed

## Properties
- formation energy without anion corrections (eV per atom) = 0.909
- N(E_F) (states/eV per cell) = 3.40
- SG = No. 119

```
BeIr2Br
1.0
5.0350 -0.0063 0.0000
2.3184 4.4695 0.0000
-3.6767 -2.2316 2.6179
Be Ir Br
1 2 1
Cartesian
3.6767 2.2316 0.0000 Be
0.0000 0.0000 0.0000 Ir
1.1592 2.2347 1.3089 Ir
2.5175 -0.0032 1.3089 Br
```

***

Record 3
Material: BeIrBr2
Method: DFT, GGA-PBE
State: relaxed

## Properties
- formation energy without anion corrections (eV per atom) = 0.663
- N(E_F) (states/eV per cell) = 1.18
- SG = No. 122

```
BeIrBr2
1.0
5.6906 0.0000 0.0000
0.0000 5.6906 0.0000
2.8453 2.8453 5.0587
Be Ir Br
2 2 4
Cartesian
2.8453 2.8453 0.0000 Be
2.8453 5.6906 2.5294 Be
0.0000 0.0000 0.0000 Ir
5.6906 2.8453 2.5294 Ir
3.9994 1.4227 1.2647 Br
1.6912 4.2680 1.2647 Br
4.2680 4.5365 3.7940 Br
7.1133 6.8447 3.7940 Br
```

***

Record 4
Material: BeIrBr3
Method: DFT, GGA-PBE
State: relaxed

## Properties
- formation energy without anion corrections (eV per atom) = 0.731
- N(E_F) (states/eV per cell) = 3.57
- SG = No. 221

```
BeIrBr3
1.0
5.0744 0.0000 0.0000
0.0000 5.0744 0.0000
0.0000 0.0000 5.0744
Be Ir Br
1 1 3
Cartesian
2.5372 2.5372 2.5372 Be
0.0000 0.0000 0.0000 Ir
0.0000 2.5372 0.0000 Br
0.0000 0.0000 2.5372 Br
2.5372 0.0000 0.0000 Br
```

***

Record 5
Material: BeIrBr2
Method: DFT, GGA-PBE
State: relaxed

## Properties
- formation energy without anion corrections (eV per atom) = 1.271
- N(E_F) (states/eV per cell) = 5.27
- SG = No. 216

```
BeIrBr2
1.0
4.6539 0.0000 0.0000
2.3269 4.0304 0.0000
2.3269 1.3435 3.7999
Be Ir Br
1 1 2
Cartesian
4.6539 2.6869 1.8999 Be
6.9808 4.0304 2.8499 Ir
0.0000 0.0000 0.0000 Br
2.3269 1.3435 0.9500 Br
```

***

Record 6
Material: BeIr2Br
Method: DFT, GGA-PBE
State: relaxed

## Properties
- formation energy without anion corrections (eV per atom) = 0.694
- N(E_F) (states/eV per cell) = 3.03
- SG = No. 47

```
BeIr2Br
1.0
2.8332 0.0000 0.0000
0.0000 4.8981 0.0000
0.0000 0.0000 4.3120
Be Ir Br
1 2 1
Cartesian
1.4166 0.0000 2.1560 Be
0.0000 0.0000 0.0000 Ir
1.4166 2.4490 0.0000 Ir
0.0000 2.4490 2.1560 Br
```

***

Record 7
Material: BeIr2Br
Method: DFT, GGA-PBE
State: relaxed

## Properties
- formation energy without anion corrections (eV per atom) = 1.050
- N(E_F) (states/eV per cell) = 5.70
- SG = No. 216

```
BeIr2Br
1.0
4.4187 0.0000 0.0000
2.2094 3.8267 0.0000
2.2094 1.2756 3.6079
Be Ir Br
1 2 1
Cartesian
4.4187 2.5512 1.8039 Be
0.0000 0.0000 0.0000 Ir
2.2094 1.2756 0.9020 Ir
6.6281 3.8267 2.7059 Br
```

***

Record 8
Material: Be2IrBr
Method: DFT, GGA-PBE
State: relaxed

## Properties
- formation energy without anion corrections (eV per atom) = 0.606
- N(E_F) (states/eV per cell) = 1.08
- SG = No. 71

```
Be2IrBr
1.0
4.7478 -0.0039 0.0024
1.5748 4.4790 -0.0024
-2.5465 -3.1061 2.5315
Be Ir Br
2 1 1
Cartesian
0.0448 0.0317 0.0000 Be
3.1164 2.2058 0.0000 Be
1.0948 1.8052 1.2646 Ir
2.6813 -0.4363 1.2669 Br
```

***

Record 9
Material: BeIrBr2
Method: DFT, GGA-PBE
State: relaxed

## Properties
- formation energy without anion corrections (eV per atom) = 0.450
- N(E_F) (states/eV per cell) = 2.34
- SG = No. 166

```
BeIrBr2
1.0
6.5319 -4.3481 0.8701
7.7585 -1.4565 -0.1175
7.0183 -1.9335 3.0551
Be Ir Br
1 1 2
Cartesian
10.6544 -3.8691 1.9039 Be
0.0000 0.0000 0.0000 Ir
19.0582 -6.9209 3.4056 Br
2.2505 -0.8173 0.4021 Br
```

***

Record 10
Material: BeIr2Br
Method: DFT, GGA-PBE
State: relaxed

## Properties
- formation energy without anion corrections (eV per atom) = 0.602
- N(E_F) (states/eV per cell) = 3.76
- SG = No. 35

```
BeIr2Br
1.0
-0.2107 -2.8272 0.6753
2.6022 1.2866 -0.2578
-0.1607 1.9557 8.1381
Be Ir Br
1 2 1
Cartesian
-0.0795 0.9679 4.0277 Be
-0.0024 0.0291 0.1211 Ir
1.1506 -0.2202 2.4980 Ir
1.0819 0.6161 5.9779 Br
```

***

Record 11
Material: BeIrBr2
Method: DFT, GGA-PBE
State: relaxed

## Properties
- formation energy without anion corrections (eV per atom) = 0.010
- N(E_F) (states/eV per cell) = 1.21
- SG = No. 8

```
BeIrBr2
1.0
3.8651 0.0969 0.0365
2.3209 3.0922 0.0365
-0.3933 -0.2028 7.9243
Be Ir Br
1 1 2
Cartesian
1.5079 0.7774 3.5040 Be
3.3264 1.7148 2.6803 Ir
6.0637 3.1260 0.8319 Br
3.9770 2.0503 5.0528 Br
```

***

Record 12
Material: BeIrBr2
Method: DFT, GGA-PBE
State: relaxed

## Properties
- formation energy without anion corrections (eV per atom) = 0.137
- N(E_F) (states/eV per cell) = 1.54
- SG = No. 12

```
BeIrBr2
1.0
7.7665 0.0486 -0.0399
7.0396 3.2811 -0.0399
0.6411 0.1442 3.5620
Be Ir Br
1 1 2
Cartesian
3.8618 0.8685 0.8706 Be
11.5854 2.6054 2.6117 Ir
13.1005 2.9462 0.2290 Br
9.4292 2.1205 1.4323 Br
```

***

Record 13
Material: BeIrBr2
Method: DFT, GGA-PBE
State: relaxed

## Properties
- formation energy without anion corrections (eV per atom) = 1.114
- N(E_F) (states/eV per cell) = 1.26
- SG = No. 225

```
BeIrBr2
1.0
0.0000 3.2802 3.2802
3.2802 0.0000 3.2802
3.2802 3.2802 0.0000
Be Ir Br
1 1 2
Cartesian
0.0000 0.0000 0.0000 Be
3.2802 3.2802 3.2802 Ir
1.6401 1.6401 1.6401 Br
4.9203 4.9203 4.9203 Br
```

***

Record 14
Material: Be2IrBr
Method: DFT, GGA-PBE
State: relaxed

## Properties
- formation energy without anion corrections (eV per atom) = 0.231
- N(E_F) (states/eV per cell) = 1.93
- SG = No. 12

```
Be2IrBr
1.0
-2.8382 -1.1566 2.5923
-0.4399 -3.7372 1.3975
3.2047 1.3143 3.5941
Be Ir Br
2 1 1
Cartesian
2.4156 0.7256 3.2817 Be
0.7524 -1.2011 4.1044 Be
-0.0550 -2.6846 5.6879 Ir
-0.0183 -0.8949 1.8960 Br
```

***

Record 15
Material: Be2IrBr
Method: DFT, GGA-PBE
State: relaxed

## Properties
- formation energy without anion corrections (eV per atom) = -0.122
- N(E_F) (states/eV per cell) = 0.97
- SG = No. 47

```
Be2IrBr
1.0
2.9260 0.0000 0.0000
0.0000 2.9791 -0.0106
0.0000 0.0253 6.6436
Be Ir Br
2 1 1
Cartesian
0.0000 0.7677 6.1392 Be
0.0000 0.7597 3.8209 Be
1.4630 2.2533 4.9747 Ir
1.4630 0.7511 1.6582 Br
```

***

Record 16
Material: BeIr2Br
Method: DFT, GGA-PBE
State: relaxed

## Properties
- formation energy without anion corrections (eV per atom) = 0.482
- N(E_F) (states/eV per cell) = 3.31
- SG = No. 71

```
BeIr2Br
1.0
5.5380 -0.0051 0.0035
3.2285 4.4996 -0.0035
-3.9780 -3.0376 2.3701
Be Ir Br
1 2 1
Cartesian
2.9716 -0.3977 1.1868 Be
8.2829 4.2466 0.0000 Ir
4.8668 2.4952 0.0000 Ir
1.8168 1.8546 1.1833 Br
```

***

Record 17
Material: BeIr4Br
Method: DFT, GGA-PBE
State: relaxed

## Properties
- formation energy without anion corrections (eV per atom) = 1.124
- N(E_F) (states/eV per cell) = 10.23
- SG = No. 216

```
BeIr4Br
1.0
3.1411 -1.4173 3.9386
-1.9917 -0.8232 4.7690
-0.2504 -4.8587 1.9281
Be Ir Br
1 4 1
Cartesian
0.6742 -5.3245 7.9768 Be
1.8977 -3.3721 5.9534 Ir
0.2135 -5.0811 4.9550 Ir
-0.6512 -3.0771 6.3657 Ir
0.3379 -2.6683 3.9975 Ir
0.0000 0.0000 0.0000 Br
```

***

Record 18
Material: BeIrBr3
Method: DFT, GGA-PBE
State: relaxed

## Properties
- formation energy without anion corrections (eV per atom) = 0.778
- N(E_F) (states/eV per cell) = 4.90
- SG = No. 221

```
BeIrBr3
1.0
-1.4200 4.5340 -0.0206
-4.4613 -1.4011 -0.8417
-0.8093 -0.2322 4.6761
Be Ir Br
1 1 3
Cartesian
0.0000 0.0000 0.0000 Be
-3.3453 1.4504 1.9069 Ir
-2.2306 -0.7005 -0.4208 Br
-0.4046 -0.1161 2.3380 Br
-0.7100 2.2670 -0.0103 Br
```

***

Record 19
Material: Be2IrBr
Method: DFT, GGA-PBE
State: relaxed

## Properties
- formation energy without anion corrections (eV per atom) = 0.009
- N(E_F) (states/eV per cell) = 0.65
- SG = No. 99

```
Be2IrBr
1.0
-2.2657 -2.0867 -0.4606
2.1063 -2.0676 -0.9941
0.8119 -2.3319 6.5702
Be Ir Br
2 1 1
Cartesian
0.8042 -2.3097 6.5076 Be
0.0947 -2.5778 0.6833 Be
0.6619 -4.2069 5.2732 Ir
0.3098 -0.8896 2.5065 Br
```

***

Record 20
Material: BeIr2Br
Method: DFT, GGA-PBE
State: relaxed

## Properties
- formation energy without anion corrections (eV per atom) = 0.807
- N(E_F) (states/eV per cell) = 3.47
- SG = No. 123

```
BeIr2Br
1.0
-2.7055 1.7411 -0.7790
-0.3486 -2.1338 -3.5584
-2.3737 -2.8263 1.9273
Be Ir Br
1 2 1
Cartesian
-1.5271 -0.1963 -2.1687 Be
0.0000 0.0000 0.0000 Ir
-1.3612 -2.4800 -0.8155 Ir
-2.5396 -0.5426 0.5741 Br
```

***

Record 21
Material: Be2IrBr
Method: DFT, GGA-PBE
State: relaxed

## Properties
- formation energy without anion corrections (eV per atom) = 0.437
- N(E_F) (states/eV per cell) = 1.36
- SG = No. 123

```
Be2IrBr
1.0
-3.5372 1.9364 -1.3500
-2.2666 -2.1069 2.9167
0.4560 2.1758 1.9261
Be Ir Br
2 1 1
Cartesian
0.0000 0.0000 0.0000 Be
-2.9019 -0.0853 0.7834 Be
-0.9053 0.0344 2.4214 Ir
-1.5406 2.0561 0.2881 Br
```

***

Record 22
Material: La2BeIrBr
Method: DFT, GGA-PBE
State: relaxed

## Properties
- formation energy without anion corrections (eV per atom) = -0.665
- N(E_F) (states/eV per cell) = 4.69
- SG = No. 123

```
La2BeIrBr
1.0
5.5957 0.0000 0.0000
0.0000 5.5957 0.0000
0.0000 0.0000 4.3851
Be Ir Br La
1 1 1 2
Cartesian
0.0000 0.0000 2.1926 Be
0.0000 0.0000 0.0000 Ir
2.7978 2.7978 2.1926 Br
0.0000 2.7978 0.0000 La
2.7978 0.0000 0.0000 La
```

***

Record 23
Material: LiBeIr2Br
Method: DFT, GGA-PBE
State: relaxed

## Properties
- formation energy without anion corrections (eV per atom) = 0.634
- N(E_F) (states/eV per cell) = 5.62
- SG = No. 123

```
LiBeIr2Br
1.0
-2.2424 3.4686 -0.0042
-3.7593 -2.4265 3.1399
1.9906 1.2910 3.3810
Be Ir Br Li
1 2 1 1
Cartesian
0.0000 0.0000 0.0000 Be
0.9953 0.6455 1.6905 Ir
-1.1212 1.7343 -0.0021 Ir
-1.8797 -1.2133 1.5700 Br
-2.0056 1.1665 3.2583 Li
```

***

Record 24
Material: Be2IrPbBr
Method: DFT, GGA-PBE
State: relaxed

## Properties
- formation energy without anion corrections (eV per atom) = 0.472
- N(E_F) (states/eV per cell) = 1.17
- SG = No. 123

```
Be2IrPbBr
1.0
4.3793 0.0000 0.0000
0.0000 5.4507 0.0000
0.0000 0.0000 4.3793
Pb Be Ir Br
1 2 1 1
Cartesian
2.1897 2.7254 2.1897 Pb
0.0000 0.0000 2.1897 Be
2.1897 0.0000 0.0000 Be
0.0000 0.0000 0.0000 Ir
0.0000 2.7254 0.0000 Br
```

***

Record 25
Material: BeIrPt2Br
Method: DFT, GGA-PBE
State: relaxed

## Properties
- formation energy without anion corrections (eV per atom) = 1.023
- N(E_F) (states/eV per cell) = 5.94
- SG = No. 123

```
BeIrPt2Br
1.0
4.9288 0.0000 0.0000
0.0000 4.2811 0.0000
0.0000 0.0000 4.9288
Be Ir Br Pt
1 1 1 2
Cartesian
0.0000 2.1406 0.0000 Be
0.0000 0.0000 0.0000 Ir
2.4644 2.1406 2.4644 Br
0.0000 0.0000 2.4644 Pt
2.4644 0.0000 0.0000 Pt
```

***

Record 26
Material: Rb2BeIrBr6
Method: DFT, GGA-PBE
State: relaxed

## Properties
- formation energy without anion corrections (eV per atom) = -0.805
- N(E_F) (states/eV per cell) = 19.47
- SG = No. 139

```
Rb2BeIrBr6
1.0
7.9703 0.0000 0.0000
0.0000 7.9703 0.0000
3.9851 3.9851 5.4545
Be Ir Br Rb
1 1 6 2
Cartesian
3.9851 3.9851 0.0000 Be
0.0000 0.0000 0.0000 Ir
3.9851 3.9851 2.0005 Br
7.9703 7.9703 3.4540 Br
1.7415 1.7415 0.0000 Br
6.2287 6.2287 0.0000 Br
6.2287 1.7415 0.0000 Br
1.7415 6.2287 0.0000 Br
7.9703 3.9851 2.7273 Rb
3.9851 7.9703 2.7273 Rb
```

***

Record 27
Material: Rb2BeIrBr
Method: DFT, GGA-PBE
State: relaxed

## Properties
- formation energy without anion corrections (eV per atom) = 0.044
- N(E_F) (states/eV per cell) = 2.70
- SG = No. 123

```
Rb2BeIrBr
1.0
6.3900 0.0000 0.0000
0.0000 4.2565 0.0000
0.0000 0.0000 6.3900
Be Ir Br Rb
1 1 1 2
Cartesian
0.0000 2.1283 0.0000 Be
0.0000 0.0000 0.0000 Ir
3.1950 2.1283 3.1950 Br
0.0000 0.0000 3.1950 Rb
3.1950 0.0000 0.0000 Rb
```

***

Record 28
Material: Sc2BeIrBr
Method: DFT, GGA-PBE
State: relaxed

## Properties
- formation energy without anion corrections (eV per atom) = 0.482
- N(E_F) (states/eV per cell) = 4.32
- SG = No. 123

```
Sc2BeIrBr
1.0
-1.4178 3.5273 -3.2217
-4.7551 0.1506 2.2576
1.6044 3.5170 3.1446
Sc Be Ir Br
2 1 1 1
Cartesian
0.8022 1.7585 1.5723 Sc
-0.7089 1.7637 -1.6108 Sc
-2.2843 3.5975 1.0902 Be
0.0000 0.0000 0.0000 Ir
-2.3775 0.0753 1.1288 Br
```

***

Record 29
Material: BeIrSeBr2
Method: DFT, GGA-PBE
State: relaxed

## Properties
- formation energy without anion corrections (eV per atom) = 0.851
- N(E_F) (states/eV per cell) = 4.35
- SG = No. 123

```
BeIrSeBr2
1.0
4.4912 0.0000 0.0000
0.0000 4.4912 0.0000
0.0000 0.0000 5.0426
Be Ir Se Br
1 1 1 2
Cartesian
0.0000 0.0000 0.0000 Be
2.2456 2.2456 2.5213 Ir
0.0000 0.0000 2.5213 Se
0.0000 2.2456 0.0000 Br
2.2456 0.0000 0.0000 Br
```